(1)
Density functional theory data (PBE) for a relaxed structure of FeRePb2.

Values from the calculation:
Magnetization = 1.7 μB per formula unit
Calculated volume = 20.76 A^3/atom
Space-group type = No. 122

Cell and atoms, written as POSCAR:
```
FeRePb2
1.0
7.493 0.000 0.000
0.000 7.493 0.000
3.747 3.747 2.959
Pb Re Fe
4 2 2
Direct
0.600 0.125 0.250 Pb
0.150 0.625 0.250 Pb
0.375 0.400 0.750 Pb
0.875 0.850 0.750 Pb
0.000 0.000 0.000 Re
0.750 0.250 0.500 Re
0.500 0.500 0.000 Fe
0.250 0.750 0.500 Fe
```

***

(2)
Density functional theory data (PBE) for a relaxed structure of FeRePb2.

Values from the calculation:
Magnetization = 2.1 μB per formula unit
Calculated volume = 21.59 A^3/atom
Space-group type = No. 6

Cell and atoms, written as POSCAR:
```
FeRePb2
1.0
-1.109 1.627 -2.420
-2.692 -1.570 0.178
-5.904 4.531 5.752
Fe Pb Re
1 2 1
Direct
0.500 0.801 0.699 Fe
0.000 0.072 0.925 Pb
0.500 0.188 0.315 Pb
0.000 0.439 0.561 Re
```

***

(3)
Density functional theory data (PBE) for a relaxed structure of FeRePb2.

Values from the calculation:
Magnetization = 2.6 μB per formula unit
Calculated volume = 20.19 A^3/atom
Space-group type = No. 65

Cell and atoms, written as POSCAR:
```
FeRePb2
1.0
3.160 0.011 0.000
-1.365 2.850 0.000
0.000 0.000 8.957
Fe Pb Re
1 2 1
Direct
0.500 0.500 0.750 Fe
0.000 0.000 0.997 Pb
0.000 0.000 0.503 Pb
0.500 0.500 0.250 Re
```

***

Ranked by calculated energy, most stable first: (2), (3), (1).

***

(1)
Density functional theory data (PBE) for a relaxed structure of FeRePb2.

Values from the calculation:
Magnetization = 0.0 μB per formula unit
Calculated volume = 18.42 A^3/atom
Space-group type = No. 225

Cell and atoms, written as POSCAR:
```
FeRePb2
1.0
0.000 3.327 3.327
3.327 0.000 3.327
3.327 3.327 0.000
Pb Re Fe
2 1 1
Direct
0.250 0.250 0.250 Pb
0.750 0.750 0.750 Pb
0.500 0.500 0.500 Re
0.000 0.000 0.000 Fe
```

***

(2)
Density functional theory data (PBE) for a relaxed structure of FeRePb2.

Values from the calculation:
Magnetization = 2.7 μB per formula unit
Calculated volume = 21.04 A^3/atom
Space-group type = No. 8

Cell and atoms, written as POSCAR:
```
FeRePb2
1.0
5.472 0.167 0.354
4.451 3.187 0.354
3.540 1.197 5.292
Fe Pb Re
1 2 1
Direct
0.156 0.156 0.207 Fe
0.937 0.937 0.063 Pb
0.813 0.813 0.683 Pb
0.593 0.593 0.546 Re
```

***

Ranked by calculated energy, most stable first: (2), (1).

***

(1)
Density functional theory data (PBE) for a relaxed structure of FeRePb2.

Values from the calculation:
Magnetization = 3.0 μB per formula unit
Calculated volume = 19.83 A^3/atom
Space-group type = No. 12

Cell and atoms, written as POSCAR:
```
FeRePb2
1.0
-3.096 0.663 -3.551
-3.902 -2.006 -1.841
-3.954 2.866 2.609
Fe Pb Re
1 2 1
Direct
0.250 0.250 0.250 Fe
0.001 0.001 0.999 Pb
0.499 0.499 0.501 Pb
0.750 0.750 0.750 Re
```

***

(2)
Density functional theory data (PBE) for a relaxed structure of FeRePb2.

Values from the calculation:
Magnetization = 3.5 μB per formula unit
Calculated volume = 19.66 A^3/atom
Space-group type = No. 119

Cell and atoms, written as POSCAR:
```
FeRePb2
1.0
-3.188 0.593 -4.384
-3.936 -3.737 -0.529
1.748 3.263 4.004
Fe Pb Re
1 2 1
Direct
0.750 0.250 0.500 Fe
0.000 0.000 0.000 Pb
0.250 0.750 0.500 Pb
0.500 0.500 0.000 Re
```

***

Ranked by calculated energy, most stable first: (1), (2).